Computed, not measured: an optimized crystal structure of CeHo4Er2Sc at the PBE-GGA level of DFT.

Cell and atoms, written as POSCAR:
```
CeHo4Er2Sc
1.0
-4.005 -2.536 -1.351
5.265 -9.447 2.127
-0.422 -1.771 4.576
Ce Ho Er Sc
1 4 2 1
Direct
0.000 0.500 0.500
0.000 0.746 0.754
0.000 0.254 0.246
0.500 0.746 0.254
0.500 0.254 0.746
0.000 0.000 0.000
0.500 0.000 0.500
0.500 0.500 0.000
```

Calculated formation energy ... 52 meV/atom
DOS at the Fermi energy ... 12.9 states/eV/cell
SG ... No. 123